Entry from the Alexandria database: Ca2PrGaN after structural relaxation (PBE-GGA).

a = 6.8038 Å, b = 6.8038 Å, c = 7.0147 Å
α = 119.01°, β = 119.01°, γ = 90.00°
Element x y z (fractional)
Ca  0.7132  0.2132  0.9996
Ga  0.7501  0.2501  0.5003
Ca  0.7863  0.7132  0.9996
Ca  0.2132  0.2863  0.9996
Pr  0.2491  0.2491  0.4982
N  0.5014  0.5014  0.0028
N  0.0014  0.0014  0.0028
Ca  0.2863  0.7863  0.9996
Pr  0.7491  0.7491  0.4982
Ga  0.2501  0.7501  0.5003

## Properties
The space group is No. 108. The value obtained for the uncorrected formation energy is -690 meV per atom.